Record 1
Material: CuNi2PtN
Method: DFT, PBE
State: optimized geometry

Computed properties:
space-group type = P4/mmm (123)
formation energy without anion corrections = 0.127 eV per atom
volume = 11.66 Å³/atom
VASP energy = -5.88 eV/atom

Cell: 3.7436 3.7436 4.1608 Å, 90.00 90.00 90.00°
Last column: nearest neighbours and their distance in Å.
Element x y z (fractional)
1 Cu 0.0000 0.0000 0.0000  4 Pt 2.65, 8 Ni 2.80
2 Ni 0.0000 0.5000 0.5000  2 N 1.87
3 Ni 0.5000 0.0000 0.5000  2 N 1.87
4 Pt 0.5000 0.5000 0.0000  2 N 2.08
5 N 0.5000 0.5000 0.5000  4 Ni 1.87, 2 Pt 2.08

Record 2
Material: Nd4Tm3S8
Method: DFT, PBE
State: optimized geometry

Computed properties:
space-group type = C2/m (12)
formation energy without anion corrections = -1.994 eV per atom
volume = 23.46 Å³/atom
VASP energy = -6.36 eV/atom

Cell: 7.9214 7.9214 7.9122 Å, 119.91 119.91 90.05°
Last column: nearest neighbours and their distance in Å.
Element x y z (fractional)
1 Nd 0.0000 0.0000 0.0000  6 S 2.88
2 Nd 0.0000 0.5000 0.0000  6 S 2.80
3 Nd 0.5000 0.0000 0.0000  6 S 2.80
4 Nd 0.5000 0.5000 0.5000  6 S 2.86
5 Tm 0.0000 0.5000 0.5000  6 S 2.80
6 Tm 0.5000 0.0000 0.5000  6 S 2.80
7 Tm 0.5000 0.5000 0.0000  6 S 2.72-2.73
8 S 0.2448 0.7552 0.5000  2 Tm 2.80, 3 Nd 2.80-2.86
9 S 0.2513 0.2513 0.5135  3 Tm 2.73-2.80, 2 Nd 2.86-2.88
10 S 0.2526 0.2526 0.9908  1 Tm 2.72, 4 Nd 2.80-2.88
11 S 0.2567 0.7433 0.0000  3 Tm 2.73-2.80, 3 Nd 2.80-2.88
12 S 0.7433 0.2567 0.0000  3 Tm 2.73-2.80, 3 Nd 2.80-2.88
13 S 0.7474 0.7474 0.0092  1 Tm 2.72, 4 Nd 2.80-2.88
14 S 0.7487 0.7487 0.4865  3 Tm 2.73-2.80, 2 Nd 2.86-2.88
15 S 0.7552 0.2448 0.5000  2 Tm 2.80, 3 Nd 2.80-2.86

Record 3
Material: ErSCl
Method: DFT, PBE
State: optimized geometry

Computed properties:
space-group type = P4_2/mmc (131)
formation energy without anion corrections = -2.171 eV per atom
volume = 28.87 Å³/atom
VASP energy = -5.68 eV/atom

Cell: 8.0209 8.0209 5.3855 Å, 90.00 90.00 90.00°
Last column: nearest neighbours and their distance in Å.
Element x y z (fractional)
1 Er 0.0000 0.2549 0.0000  2 Cl 2.64, 4 S 2.70-2.74
2 Er 0.0000 0.7451 0.0000  2 Cl 2.64, 4 S 2.70-2.74
3 Er 0.2549 0.0000 0.5000  2 Cl 2.64, 4 S 2.70-2.74
4 Er 0.7451 0.0000 0.5000  2 Cl 2.64, 4 S 2.70-2.74
5 S 0.0000 0.2272 0.5000  4 Er 2.70-2.74
6 S 0.0000 0.7728 0.5000  4 Er 2.70-2.74
7 S 0.2272 0.0000 0.0000  4 Er 2.70-2.74
8 S 0.7728 0.0000 0.0000  4 Er 2.70-2.74
9 Cl 0.2198 0.5000 0.0000  2 Er 2.64
10 Cl 0.5000 0.2198 0.5000  2 Er 2.64
11 Cl 0.5000 0.7802 0.5000  2 Er 2.64
12 Cl 0.7802 0.5000 0.0000  2 Er 2.64

Record 4
Material: TbTmPd4
Method: DFT, PBE
State: optimized geometry

Computed properties:
space-group type = F-43m (216)
volume = 18.91 Å³/atom
VASP energy = -5.79 eV/atom
DFT formation energy = -0.815 eV/atom

Cell: 5.4341 5.4341 5.4341 Å, 60.00 60.00 60.00°
Last column: nearest neighbours and their distance in Å.
Element x y z (fractional)
1 Tb 0.0000 0.0000 0.0000  12 Pd 3.19, 4 Tm 3.33
2 Tm 0.7500 0.7500 0.7500  12 Pd 3.19, 4 Tb 3.33
3 Pd 0.3752 0.3752 0.3752  6 Pd 2.71-2.72
4 Pd 0.3752 0.3752 0.8745  6 Pd 2.71-2.72
5 Pd 0.3752 0.8745 0.3752  6 Pd 2.71-2.72
6 Pd 0.8745 0.3752 0.3752  6 Pd 2.71-2.72

Record 5
Material: Cs3Pr2ErS6
Method: DFT, PBE
State: optimized geometry

Computed properties:
space-group type = C2/m (12)
formation energy without anion corrections = -1.807 eV per atom
volume = 31.13 Å³/atom
VASP energy = -5.26 eV/atom

Cell: 7.3007 7.3007 8.4502 Å, 98.28 98.28 120.00°
Last column: nearest neighbours and their distance in Å.
Element x y z (fractional)
1 Cs 0.0000 0.0000 0.0000  6 S 3.50-3.58
2 Cs 0.3319 0.6681 0.0000  6 S 3.50-3.58
3 Cs 0.6681 0.3319 0.0000  6 S 3.50-3.58
4 Pr 0.1666 0.8334 0.5000  6 S 2.89-2.90
5 Pr 0.8334 0.1666 0.5000  6 S 2.89-2.90
6 Er 0.5000 0.5000 0.5000  6 S 2.78
7 S 0.1173 0.4384 0.3154  1 Er 2.78, 2 Pr 2.89-2.90
8 S 0.2407 0.2407 0.6854  1 Er 2.78, 2 Pr 2.90
9 S 0.4384 0.1173 0.3154  1 Er 2.78, 2 Pr 2.89-2.90
10 S 0.5616 0.8827 0.6846  1 Er 2.78, 2 Pr 2.89-2.90
11 S 0.7593 0.7593 0.3146  1 Er 2.78, 2 Pr 2.90
12 S 0.8827 0.5616 0.6846  1 Er 2.78, 2 Pr 2.89-2.90

Record 6
Material: MnSnP2Pt
Method: DFT, PBE
State: optimized geometry

Computed properties:
space-group type = P4/mmm (123)
volume = 26.11 Å³/atom
VASP energy = -4.50 eV/atom
DFT formation energy = 1.508 eV/atom

Cell: 5.0693 5.0693 5.0801 Å, 90.00 90.00 90.00°
Last column: nearest neighbours and their distance in Å.
Element x y z (fractional)
1 Mn 0.0000 0.0000 0.0000  2 Sn 2.54
2 Sn 0.0000 0.0000 0.5000  4 P 2.53, 2 Mn 2.54
3 P 0.0000 0.5000 0.5000  2 Sn 2.53
4 P 0.5000 0.0000 0.5000  2 Sn 2.53
5 Pt 0.5000 0.5000 0.0000  4 Mn 3.58, 8 P 3.59